1.
Entry from Alexandria via LeMat-Bulk: crystalline Ho7BeBr12 at its relaxed geometry (PBE).

```
Ho7BeBr12
1.0
8.6587 -0.1847 -2.6346
-3.5054 7.9195 -2.6346
-0.1231 -0.1847 9.0498
Br Be Ho
12 1 7
Direct
0.8405 0.6086 0.5278
0.0766 0.6850 0.2259
0.5278 0.8405 0.6086
0.3150 0.7741 0.9234
0.6850 0.2259 0.0766
0.3914 0.4722 0.1595
0.1595 0.3914 0.4722
0.9234 0.3150 0.7741
0.6086 0.5278 0.8405
0.2259 0.0766 0.6850
0.7741 0.9234 0.3150
0.4722 0.1595 0.3914
0.0000 0.0000 0.0000
0.9664 0.6845 0.8929
0.1071 0.0336 0.3155
0.3155 0.1071 0.0336
0.5000 0.5000 0.5000
0.6845 0.8929 0.9664
0.8929 0.9664 0.6845
0.0336 0.3155 0.1071
```

Calculated values
The total energy comes out at -4.284 eV per atom. The total magnetization comes out at 0.0 μB/cell. The space-group type is R-3 (148).


2.
Entry from Alexandria via LeMat-Bulk: crystalline CoReS at its relaxed geometry (PBE).

```
CoReS
1.0
-2.3122 1.7357 -0.2605
-1.5811 -1.8340 1.8122
9.5706 4.1890 7.6196
Re S Co
2 2 2
Direct
0.6231 0.4337 0.6866
0.3769 0.5663 0.3134
0.4402 0.5902 0.8453
0.5598 0.4098 0.1547
0.8663 0.8073 0.5582
0.1337 0.1927 0.4418
```

Calculated values
The total energy comes out at -7.816 eV per atom. The total magnetization comes out at 1.8 μB/cell. The space-group type is P2_1/m (11).